1.
A plane-wave DFT calculation with PBE-GGA was carried out for an optimized crystal structure of Li2AlOs.

```
Li2AlOs
1.0
4.476 0.000 0.000
0.000 4.476 0.000
0.000 0.000 2.649
Al Li Os
1 2 1
direct
0.000 0.500 0.500 Al
0.000 0.000 0.000 Li
0.500 0.500 0.000 Li
0.500 0.000 0.500 Os
```

Output
DFT formation energy = 243 meV per atom
total energy = -4.457 eV/atom
DOS at the Fermi energy = 1.4 states/eV/f.u.
spin magnetization = 0.000 μB/atom
space-group type = P4/mmm, No. 123

---

2.
A plane-wave DFT calculation with PBE-GGA was carried out for an optimized crystal structure of LiAl2Os.

```
LiAl2Os
1.0
-3.293 -2.588 -0.799
-1.727 -2.289 3.155
-3.883 0.977 1.464
Al Os Li
2 1 1
direct
0.000 0.000 0.000 Al
0.250 0.250 0.250 Al
0.750 0.750 0.750 Os
0.500 0.500 0.500 Li
```

Output
DFT formation energy = -111 meV per atom
total energy = -5.268 eV/atom
DOS at the Fermi energy = 3.2 states/eV/f.u.
spin magnetization = 0.000 μB/atom
space-group type = F-43m, No. 216

---

3.
A plane-wave DFT calculation with PBE-GGA was carried out for an optimized crystal structure of LiAlOs3.

```
LiAlOs3
1.0
4.113 0.000 0.000
0.000 4.113 0.000
0.000 0.000 4.113
Os Li Al
3 1 1
direct
0.500 0.000 0.000 Os
0.000 0.500 0.000 Os
0.000 0.000 0.500 Os
0.000 0.000 0.000 Li
0.500 0.500 0.500 Al
```

Output
DFT formation energy = 1196 meV per atom
total energy = -6.673 eV/atom
DOS at the Fermi energy = 7.5 states/eV/f.u.
spin magnetization = 0.118 μB/atom
space-group type = Pm-3m, No. 221

---

4.
A plane-wave DFT calculation with PBE-GGA was carried out for an optimized crystal structure of LiAl2Os.

```
LiAl2Os
1.0
-2.298 -2.217 2.094
0.340 -2.792 -2.582
5.928 -5.623 4.037
Li Al Os
2 4 2
direct
0.250 0.750 0.500 Li
0.500 0.500 0.000 Li
0.375 0.361 0.750 Al
0.111 0.625 0.250 Al
0.639 0.125 0.250 Al
0.875 0.889 0.750 Al
0.000 0.000 0.000 Os
0.750 0.250 0.500 Os
```

Output
DFT formation energy = 376 meV per atom
total energy = -4.782 eV/atom
DOS at the Fermi energy = 2.9 states/eV/f.u.
spin magnetization = 0.087 μB/atom
space-group type = I-42d, No. 122